! Tm4Pd, optimized geometry, DFT PBE; values from VASP
! space-group type	Fdd2 (43)
! D(E_F)	12.06	states/eV per cell
! E above lowest polymorph	0	meV per atom
&SYSTEM
  ibrav = 0, nat = 10, ntyp = 2
/
ATOMIC_SPECIES
Tm 168.93 Tm.upf
Pd 106.42 Pd.upf
CELL_PARAMETERS angstrom
-2.160 6.785 -1.172
-4.662 -4.915 2.488
4.952 0.565 5.193
ATOMIC_POSITIONS angstrom
Tm -3.944 -3.250 2.910
Tm -2.151 3.199 1.383
Tm -1.474 -2.992 5.515
Tm 0.088 2.373 4.326
Tm 2.397 5.597 3.537
Pd -2.257 0.619 0.436
Tm 1.179 -1.009 4.954
Tm -1.325 -0.511 2.763
Pd 0.845 3.827 2.117
Tm -4.471 0.752 2.669